(1)
# Dy2AlSi3Ir4 (PBE, relaxed)
# Uncorrected formation energy = -1007 kJ/mol of formula units
data_Dy2AlSi3Ir4
_chemical_formula_sum 'Dy2 Al1 Si3 Ir4'
_symmetry_space_group_name_H-M 'P 1'
_symmetry_Int_Tables_number 1
_symmetry_space_group_name_Hall 'P 1'
_cell_length_a 4.1139
_cell_length_b 4.1139
_cell_length_c 10.0674
_cell_angle_alpha 90.00
_cell_angle_beta 90.00
_cell_angle_gamma 90.00
loop_
_atom_site_label
_atom_site_fract_x
_atom_site_fract_y
_atom_site_fract_z
Dy1 0.0000 0.5000 0.2491
Dy2 0.5000 0.0000 0.7509
Al1 0.0000 0.0000 0.5000
Si1 0.0000 0.5000 0.8712
Si2 0.5000 0.0000 0.1288
Si3 0.5000 0.5000 0.5000
Ir1 0.0000 0.0000 0.0000
Ir2 0.0000 0.5000 0.6367
Ir3 0.5000 0.0000 0.3633
Ir4 0.5000 0.5000 0.0000



(2)
# DyAlSi2Ir5 (PBE, relaxed)
# Uncorrected formation energy = -405 kJ/mol of formula units
data_DyAlSi2Ir5
_chemical_formula_sum 'Dy1 Al1 Si2 Ir5'
_symmetry_space_group_name_H-M 'P 1'
_symmetry_Int_Tables_number 1
_symmetry_space_group_name_Hall 'P 1'
_cell_length_a 4.0318
_cell_length_b 4.0318
_cell_length_c 10.0796
_cell_angle_alpha 90.00
_cell_angle_beta 90.00
_cell_angle_gamma 90.00
loop_
_atom_site_label
_atom_site_fract_x
_atom_site_fract_y
_atom_site_fract_z
Dy1 0.0000 0.0000 0.0000
Al1 0.0000 0.0000 0.5000
Si1 0.5000 0.5000 0.2299
Si2 0.5000 0.5000 0.7701
Ir1 0.0000 0.5000 0.3503
Ir2 0.0000 0.5000 0.6497
Ir3 0.5000 0.0000 0.3503
Ir4 0.5000 0.0000 0.6497
Ir5 0.5000 0.5000 0.0000



(3)
# Dy2TaAl2Ir5 (PBE, relaxed)
# E_tot = -8.09 eV per atom
data_Dy2TaAl2Ir5
_chemical_formula_sum 'Dy4 Ta2 Al4 Ir10'
_symmetry_space_group_name_H-M 'P 1'
_symmetry_Int_Tables_number 1
_symmetry_space_group_name_Hall 'P 1'
_cell_length_a 9.7795
_cell_length_b 9.7795
_cell_length_c 3.5837
_cell_angle_alpha 90.00
_cell_angle_beta 90.00
_cell_angle_gamma 90.00
loop_
_atom_site_label
_atom_site_fract_x
_atom_site_fract_y
_atom_site_fract_z
Dy1 0.1742 0.3258 0.0000
Dy2 0.3258 0.8258 0.0000
Dy3 0.6742 0.1742 0.0000
Dy4 0.8258 0.6742 0.0000
Ta1 0.0000 0.0000 0.0000
Ta2 0.5000 0.5000 0.0000
Al1 0.1236 0.6236 0.0000
Al2 0.3764 0.1236 0.0000
Al3 0.6236 0.8764 0.0000
Al4 0.8764 0.3764 0.0000
Ir1 0.0000 0.5000 0.5000
Ir2 0.0663 0.7956 0.5000
Ir3 0.2044 0.0663 0.5000
Ir4 0.2956 0.5663 0.5000
Ir5 0.4337 0.2956 0.5000
Ir6 0.5000 0.0000 0.5000
Ir7 0.5663 0.7044 0.5000
Ir8 0.7044 0.4337 0.5000
Ir9 0.7956 0.9337 0.5000
Ir10 0.9337 0.2044 0.5000



(4)
# Dy2Al4ZnIr3 (PBE, relaxed)
# E_tot = -5.96 eV per atom
data_Dy2Al4ZnIr3
_chemical_formula_sum 'Dy2 Al4 Zn1 Ir3'
_symmetry_space_group_name_H-M 'P 1'
_symmetry_Int_Tables_number 1
_symmetry_space_group_name_Hall 'P 1'
_cell_length_a 4.0625
_cell_length_b 4.0625
_cell_length_c 11.0200
_cell_angle_alpha 90.00
_cell_angle_beta 90.00
_cell_angle_gamma 90.00
loop_
_atom_site_label
_atom_site_fract_x
_atom_site_fract_y
_atom_site_fract_z
Dy1 0.0000 0.5000 0.2426
Dy2 0.5000 0.0000 0.7574
Al1 0.0000 0.0000 0.0000
Al2 0.0000 0.5000 0.6347
Al3 0.5000 0.0000 0.3653
Al4 0.5000 0.5000 0.0000
Zn1 0.0000 0.0000 0.5000
Ir1 0.0000 0.5000 0.8619
Ir2 0.5000 0.0000 0.1381
Ir3 0.5000 0.5000 0.5000



(5)
# K3Dy3AlO8 (PBE, relaxed)
# Uncorrected formation energy = -3750 kJ/mol of formula units
data_K3Dy3AlO8
_chemical_formula_sum 'K3 Dy3 Al1 O8'
_symmetry_space_group_name_H-M 'P 1'
_symmetry_Int_Tables_number 1
_symmetry_space_group_name_Hall 'P 1'
_cell_length_a 7.3826
_cell_length_b 7.3826
_cell_length_c 7.3826
_cell_angle_alpha 54.18
_cell_angle_beta 54.18
_cell_angle_gamma 54.18
loop_
_atom_site_label
_atom_site_fract_x
_atom_site_fract_y
_atom_site_fract_z
K1 0.0000 0.5000 0.5000
K2 0.5000 0.0000 0.5000
K3 0.5000 0.5000 0.0000
Dy1 0.0000 0.0000 0.5000
Dy2 0.0000 0.5000 0.0000
Dy3 0.5000 0.0000 0.0000
Al1 0.5000 0.5000 0.5000
O1 0.2281 0.2281 0.2281
O2 0.2596 0.7040 0.7040
O3 0.2960 0.2960 0.7404
O4 0.2960 0.7404 0.2960
O5 0.7040 0.2596 0.7040
O6 0.7040 0.7040 0.2596
O7 0.7404 0.2960 0.2960
O8 0.7719 0.7719 0.7719



(6)
# K3DyAl2O6 (PBE, relaxed)
# Uncorrected formation energy = -2769 kJ/mol of formula units
data_K3DyAl2O6
_chemical_formula_sum 'K3 Dy1 Al2 O6'
_symmetry_space_group_name_H-M 'P 1'
_symmetry_Int_Tables_number 1
_symmetry_space_group_name_Hall 'P 1'
_cell_length_a 6.0380
_cell_length_b 6.0380
_cell_length_c 7.0894
_cell_angle_alpha 90.00
_cell_angle_beta 90.00
_cell_angle_gamma 120.00
loop_
_atom_site_label
_atom_site_fract_x
_atom_site_fract_y
_atom_site_fract_z
K1 0.0000 0.0000 0.0000
K2 0.3333 0.6667 0.7484
K3 0.6667 0.3333 0.2516
Dy1 0.0000 0.0000 0.5000
Al1 0.3333 0.6667 0.2952
Al2 0.6667 0.3333 0.7048
O1 0.1703 0.3405 0.2967
O2 0.1703 0.8297 0.2967
O3 0.3405 0.1703 0.7033
O4 0.6595 0.8297 0.2967
O5 0.8297 0.1703 0.7033
O6 0.8297 0.6595 0.7033



(7)
# K2DyAlO4 (PBE, relaxed)
# Uncorrected formation energy = -1993 kJ/mol of formula units
data_K2DyAlO4
_chemical_formula_sum 'K2 Dy1 Al1 O4'
_symmetry_space_group_name_H-M 'P 1'
_symmetry_Int_Tables_number 1
_symmetry_space_group_name_Hall 'P 1'
_cell_length_a 5.9169
_cell_length_b 5.9169
_cell_length_c 5.9169
_cell_angle_alpha 121.33
_cell_angle_beta 121.33
_cell_angle_gamma 87.72
loop_
_atom_site_label
_atom_site_fract_x
_atom_site_fract_y
_atom_site_fract_z
K1 0.0000 0.0000 0.0000
K2 0.7500 0.2500 0.5000
Dy1 0.5000 0.5000 0.0000
Al1 0.2500 0.7500 0.5000
O1 0.2276 0.0853 0.5837
O2 0.3561 0.7724 0.8577
O3 0.5016 0.6439 0.4163
O4 0.9147 0.4984 0.1423



(8)
# K2DyAlS4 (PBE, relaxed)
# Uncorrected formation energy = -1073 kJ/mol of formula units
data_K2DyAlS4
_chemical_formula_sum 'K4 Dy2 Al2 S8'
_symmetry_space_group_name_H-M 'P 1'
_symmetry_Int_Tables_number 1
_symmetry_space_group_name_Hall 'P 1'
_cell_length_a 8.1003
_cell_length_b 8.1003
_cell_length_c 8.1003
_cell_angle_alpha 121.93
_cell_angle_beta 118.40
_cell_angle_gamma 89.74
loop_
_atom_site_label
_atom_site_fract_x
_atom_site_fract_y
_atom_site_fract_z
K1 0.0000 0.0000 0.0000
K2 0.5000 0.0000 0.0000
K3 0.5000 0.0000 0.5000
K4 0.5000 0.5000 0.5000
Dy1 0.0000 0.5000 0.5000
Dy2 0.5000 0.5000 0.0000
Al1 0.0000 0.0000 0.5000
Al2 0.0000 0.5000 0.0000
S1 0.1895 0.7406 0.4489
S2 0.2083 0.2594 0.9489
S3 0.2240 0.2458 0.5218
S4 0.2240 0.7022 0.9782
S5 0.7760 0.2978 0.0218
S6 0.7760 0.7542 0.4782
S7 0.7917 0.7406 0.0511
S8 0.8105 0.2594 0.5511